No. 1
# VGaIrOs, optimized geometry, DFT PBE
data_VGaIrOs
_chemical_formula_sum 'V4 Ga4 Ir4 Os4'
_symmetry_space_group_name_H-M 'F -4 3 m'
_symmetry_Int_Tables_number 216
_symmetry_space_group_name_Hall 'F -4 2 3'
_cell_length_a 6.081
_cell_length_b 6.081
_cell_length_c 6.081
_cell_angle_alpha 90.00
_cell_angle_beta 90.00
_cell_angle_gamma 90.00
loop_
_atom_site_label
_atom_site_type_symbol
_atom_site_fract_x
_atom_site_fract_y
_atom_site_fract_z
V1 V 0.000 0.000 0.000
Ga1 Ga 0.000 0.000 0.500
Ir1 Ir 0.250 0.250 0.750
Os1 Os 0.250 0.250 0.250
# total magnetization = 1.03 μB/f.u.
# Fermi-level density of states = 12.21 states/eV per cell
# raw total energy = -8.35 eV/atom


No. 2
# CsPaO2, optimized geometry, DFT PBE
data_CsPaO2
_chemical_formula_sum 'Cs1 Pa1 O2'
_symmetry_space_group_name_H-M 'P 4/m m m'
_symmetry_Int_Tables_number 123
_symmetry_space_group_name_Hall '-P 4 2'
_cell_length_a 3.158
_cell_length_b 3.158
_cell_length_c 7.350
_cell_angle_alpha 90.00
_cell_angle_beta 90.00
_cell_angle_gamma 90.00
loop_
_atom_site_label
_atom_site_type_symbol
_atom_site_fract_x
_atom_site_fract_y
_atom_site_fract_z
Cs1 Cs 0.000 0.000 0.000
Pa1 Pa 0.000 0.000 0.500
O1 O 0.500 0.500 0.329
# total magnetization = 1.54 μB/f.u.
# Fermi-level density of states = 3.13 states/eV per cell
# E_form (uncorrected) = -1.83 eV per atom


No. 3
# TaGe2Ru3, optimized geometry, DFT PBE
data_TaGe2Ru3
_chemical_formula_sum 'Ta1 Ge2 Ru3'
_symmetry_space_group_name_H-M 'P 4/m m m'
_symmetry_Int_Tables_number 123
_symmetry_space_group_name_Hall '-P 4 2'
_cell_length_a 3.031
_cell_length_b 3.031
_cell_length_c 9.567
_cell_angle_alpha 90.00
_cell_angle_beta 90.00
_cell_angle_gamma 90.00
loop_
_atom_site_label
_atom_site_type_symbol
_atom_site_fract_x
_atom_site_fract_y
_atom_site_fract_z
Ta1 Ta 0.000 0.000 0.000
Ge1 Ge 0.000 0.000 0.339
Ru1 Ru 0.500 0.500 0.185
Ru2 Ru 0.500 0.500 0.500
# total magnetization = 0.00 μB/f.u.
# Fermi-level density of states = 3.61 states/eV per cell
# raw total energy = -8.44 eV/atom


No. 4
# Pm3IrRh2, optimized geometry, DFT PBE
data_Pm3IrRh2
_chemical_formula_sum 'Pm6 Ir2 Rh4'
_symmetry_space_group_name_H-M 'P -3 m 1'
_symmetry_Int_Tables_number 164
_symmetry_space_group_name_Hall '-P 3 2"'
_cell_length_a 4.9804
_cell_length_b 4.9804
_cell_length_c 12.1809
_cell_angle_alpha 90.00
_cell_angle_beta 90.00
_cell_angle_gamma 120.00
loop_
_atom_site_label
_atom_site_type_symbol
_atom_site_fract_x
_atom_site_fract_y
_atom_site_fract_z
Pm1 Pm 0.0000 0.0000 0.2489
Pm2 Pm 0.3333 0.6667 0.4155
Pm3 Pm 0.3333 0.6667 0.9167
Ir1 Ir 0.3333 0.6667 0.1663
Rh1 Rh 0.0000 0.0000 0.0000
Rh2 Rh 0.0000 0.0000 0.5000
Rh3 Rh 0.3333 0.6667 0.6639
# ΔE to the lowest computed polymorph = 0 meV/atom
# total magnetization = 0.00 μB/f.u.
# Fermi-level density of states = 7.84 states/eV per cell


No. 5
# AcPr4Tm10, optimized geometry, DFT PBE
data_AcPr4Tm10
_chemical_formula_sum 'Ac2 Pr8 Tm20'
_symmetry_space_group_name_H-M 'I 4/m'
_symmetry_Int_Tables_number 87
_symmetry_space_group_name_Hall '-I 4'
_cell_length_a 9.712
_cell_length_b 9.712
_cell_length_c 11.643
_cell_angle_alpha 90.00
_cell_angle_beta 90.00
_cell_angle_gamma 90.00
loop_
_atom_site_label
_atom_site_type_symbol
_atom_site_fract_x
_atom_site_fract_y
_atom_site_fract_z
Ac1 Ac 0.000 0.000 0.000
Pr1 Pr 0.073 0.319 0.500
Tm1 Tm 0.000 0.500 0.250
Tm2 Tm 0.116 0.224 0.178
# total magnetization = 0.00 μB/f.u.
# Fermi-level density of states = 60.76 states/eV per cell
# raw total energy = -4.01 eV/atom


No. 6
# AlNi5Sn, optimized geometry, DFT PBE
data_AlNi5Sn
_chemical_formula_sum 'Al1 Ni5 Sn1'
_symmetry_space_group_name_H-M 'P 4/m m m'
_symmetry_Int_Tables_number 123
_symmetry_space_group_name_Hall '-P 4 2'
_cell_length_a 3.825
_cell_length_b 3.825
_cell_length_c 6.353
_cell_angle_alpha 90.00
_cell_angle_beta 90.00
_cell_angle_gamma 90.00
loop_
_atom_site_label
_atom_site_type_symbol
_atom_site_fract_x
_atom_site_fract_y
_atom_site_fract_z
Al1 Al 0.000 0.000 0.000
Ni1 Ni 0.000 0.000 0.500
Ni2 Ni 0.000 0.500 0.221
Sn1 Sn 0.500 0.500 0.500
# total magnetization = 0.00 μB/f.u.
# Fermi-level density of states = 6.93 states/eV per cell
# raw total energy = -5.38 eV/atom


No. 7
# LaCe2NdPt4, optimized geometry, DFT PBE
data_LaCe2NdPt4
_chemical_formula_sum 'La4 Ce8 Nd4 Pt16'
_symmetry_space_group_name_H-M 'F m m 2'
_symmetry_Int_Tables_number 42
_symmetry_space_group_name_Hall 'F 2 -2'
_cell_length_a 8.368
_cell_length_b 11.847
_cell_length_c 8.366
_cell_angle_alpha 90.00
_cell_angle_beta 90.00
_cell_angle_gamma 90.00
loop_
_atom_site_label
_atom_site_type_symbol
_atom_site_fract_x
_atom_site_fract_y
_atom_site_fract_z
La1 La 0.000 0.000 0.000
Ce1 Ce 0.250 0.250 0.251
Nd1 Nd 0.000 0.000 0.500
Pt1 Pt 0.000 0.249 0.501
Pt2 Pt 0.250 0.000 0.250
# total magnetization = 1.10 μB/f.u.
# Fermi-level density of states = 51.35 states/eV per cell
# raw total energy = -6.78 eV/atom


No. 8
# AcPm2Pr6Dy, optimized geometry, DFT PBE
data_AcPm2Pr6Dy
_chemical_formula_sum 'Ac4 Pm8 Pr24 Dy4'
_symmetry_space_group_name_H-M 'C 1 2/c 1'
_symmetry_Int_Tables_number 15
_cell_length_a 9.444
_cell_length_b 15.741
_cell_length_c 9.913
_cell_angle_alpha 90.00
_cell_angle_beta 96.33
_cell_angle_gamma 90.00
loop_
_symmetry_equiv_pos_as_xyz
'x,y,z'
'-x,-y,-z'
'-x,y,-z+1/2'
'x,-y,z+1/2'
'x+1/2,y+1/2,z'
'-x+1/2,-y+1/2,-z'
'-x+1/2,y+1/2,-z+1/2'
'x+1/2,-y+1/2,z+1/2'
loop_
_atom_site_label
_atom_site_type_symbol
_atom_site_fract_x
_atom_site_fract_y
_atom_site_fract_z
Ac1 Ac 0.000 0.023 0.250
Pm1 Pm 0.245 0.444 0.455
Pr1 Pr 0.062 0.188 0.946
Pr2 Pr 0.103 0.395 0.117
Pr3 Pr 0.213 0.226 0.312
Dy1 Dy 0.000 0.411 0.750
# total magnetization = 0.00 μB/f.u.
# Fermi-level density of states = 58.93 states/eV per cell
# raw total energy = -4.58 eV/atom